(1)
This record from the Alexandria database describes an optimized crystal structure of NiPt3. The functional is GGA-PBEsol.

The space group is Pmmm (No. 47) and the conventional cell measures 2.7221, 3.7786 and 5.4419 Å, with angles of 90.00, 90.00 and 90.00 degrees. The distinct sites, in fractional coordinates, are Ni at (0.0000, 0.0000, 0.0000), Pt at (0.0000, 0.0000, 0.5000) and Pt at (0.5000, 0.5000, 0.2402).

Its formation energy is -0.02 eV/atom. The calculation puts the total energy at -6.78 eV per atom.

(2)
This record from the Alexandria database describes an optimized crystal structure of NiPt. The functional is GGA-PBEsol.

The space group is P4/mmm (No. 123) and the conventional cell measures 2.6760, 2.6760 and 3.5800 Å, with angles of 90.00, 90.00 and 90.00 degrees. The distinct sites, in fractional coordinates, are Ni at (0.0000, 0.0000, 0.0000) and Pt at (0.5000, 0.5000, 0.5000).

Its formation energy is -0.08 eV/atom. The calculation puts the total energy at -6.64 eV per atom.

(3)
This record from the Alexandria database describes an optimized crystal structure of Ni4Pt3. The functional is GGA-PBEsol.

The space group is R3 (No. 146, hexagonal axes) and the conventional cell measures 6.8922, 6.8922 and 6.4122 Å, with angles of 90.00, 90.00 and 120.00 degrees. The distinct sites, in fractional coordinates, are Ni at (0.0000, 0.0000, 0.0000), Ni at (0.0459, 0.2323, 0.6761) and Pt at (0.1445, 0.7239, 0.0071).

Its formation energy is -0.04 eV/atom. The calculation puts the total energy at -6.54 eV per atom.

(4)
This record from the Alexandria database describes an optimized crystal structure of Ni3Pt. The functional is GGA-PBEsol.

The space group is Pm-3m (No. 221) and the conventional cell measures 3.5965, 3.5965 and 3.5965 Å, with angles of 90.00, 90.00 and 90.00 degrees. The distinct sites, in fractional coordinates, are Ni at (0.0000, 0.0000, 0.5000) and Pt at (0.5000, 0.5000, 0.5000).

Its formation energy is -0.06 eV/atom. The calculation puts the total energy at -6.42 eV per atom.

(5)
This record from the Alexandria database describes an optimized crystal structure of Ni7Pt5. The functional is GGA-PBEsol.

The space group is Pm (No. 6) and the conventional cell measures 7.2546, 2.6569 and 7.8094 Å, with angles of 90.00, 90.53 and 90.00 degrees. The distinct sites, in fractional coordinates, are Ni at (0.0000, 0.0000, 0.0000), Ni at (0.0034, 0.0000, 0.6549), Ni at (0.2610, 0.5000, 0.4971), Ni at (0.5035, 0.0000, 0.6520), Ni at (0.5107, 0.0000, 0.3395), Ni at (0.7418, 0.5000, 0.4959), Ni at (0.7530, 0.5000, 0.1696), Pt at (0.2459, 0.5000, 0.8176), Pt at (0.2544, 0.5000, 0.1723), Pt at (0.5139, 0.0000, 0.0010), Pt at (0.7655, 0.5000, 0.8198) and Pt at (0.9903, 0.0000, 0.3385).

For the energy above the most stable polymorph in this dataset, the calculation gives 25.1 meV/atom. Its formation energy is -0.03 eV/atom. The calculation puts the total energy at -6.52 eV per atom.

(6)
This record from the Alexandria database describes an optimized crystal structure of Ni24Pt5. The functional is GGA-PBEsol.

The space group is I-43m (No. 217) and the conventional cell measures 8.6771, 8.6771 and 8.6771 Å, with angles of 90.00, 90.00 and 90.00 degrees. The distinct sites, in fractional coordinates, are Ni at (0.0394, 0.3626, 0.3626), Ni at (0.0928, 0.0928, 0.2842), Pt at (0.0000, 0.0000, 0.0000) and Pt at (0.1851, 0.1851, 0.8149).

Its formation energy is 0.03 eV/atom. The calculation puts the total energy at -6.27 eV per atom.

(7)
This record from the Alexandria database describes an optimized crystal structure of Ni3Pt. The functional is GGA-PBEsol.

The space group is P4/mmm (No. 123) and the conventional cell measures 2.6115, 2.6115 and 6.8475 Å, with angles of 90.00, 90.00 and 90.00 degrees. The distinct sites, in fractional coordinates, are Ni at (0.0000, 0.0000, 0.0000), Ni at (0.5000, 0.5000, 0.2317) and Pt at (0.0000, 0.0000, 0.5000).

Its formation energy is 0.00 eV/atom. The calculation puts the total energy at -6.36 eV per atom.

(8)
This record from the Alexandria database describes an optimized crystal structure of NiPt3. The functional is GGA-PBEsol.

The space group is Cmmm (No. 65) and the conventional cell measures 5.3976, 7.6395 and 2.7251 Å, with angles of 90.00, 90.00 and 90.00 degrees. The distinct sites, in fractional coordinates, are Ni at (0.0000, 0.0000, 0.0000), Pt at (0.0000, 0.5000, 0.0000) and Pt at (0.2500, 0.2500, 0.5000).

Its formation energy is -0.04 eV/atom. The calculation puts the total energy at -6.80 eV per atom.

(9)
This record from the Alexandria database describes an optimized crystal structure of Ni3Pt. The functional is GGA-PBEsol.

The space group is R-3m (No. 166, hexagonal axes) and the conventional cell measures 2.5911, 2.5911 and 24.4594 Å, with angles of 90.00, 90.00 and 120.00 degrees. The distinct sites, in fractional coordinates, are Ni at (0.0000, 0.0000, 0.0000), Ni at (0.0000, 0.0000, 0.2551) and Pt at (0.0000, 0.0000, 0.5000).

Its formation energy is 0.04 eV/atom. The calculation puts the total energy at -6.32 eV per atom.

(10)
This record from the Alexandria database describes an optimized crystal structure of NiPt3. The functional is GGA-PBEsol.

The space group is R-3m (No. 166, hexagonal axes) and the conventional cell measures 2.7196, 2.7196 and 26.3012 Å, with angles of 90.00, 90.00 and 120.00 degrees. The distinct sites, in fractional coordinates, are Ni at (0.0000, 0.0000, 0.0000), Pt at (0.0000, 0.0000, 0.2558) and Pt at (0.0000, 0.0000, 0.5000).

Its formation energy is -0.02 eV/atom. The calculation puts the total energy at -6.78 eV per atom.

(11)
This record from the Alexandria database describes an optimized crystal structure of Ni5Pt4. The functional is GGA-PBEsol.

The space group is C2/m (No. 12) and the conventional cell measures 8.2847, 3.6674 and 7.8861 Å, with angles of 90.00, 108.67 and 90.00 degrees. The distinct sites, in fractional coordinates, are Ni at (0.0000, 0.0000, 0.0000), Ni at (0.0015, 0.0000, 0.3308), Ni at (0.1669, 0.5000, 0.2206), Pt at (0.1579, 0.5000, 0.8885) and Pt at (0.1669, 0.5000, 0.5575).

Its formation energy is -0.06 eV/atom. The calculation puts the total energy at -6.57 eV per atom.

(12)
This record from the Alexandria database describes an optimized crystal structure of NiPt2. The functional is GGA-PBEsol.

The space group is I4_1/amd (No. 141, origin choice 2) and the conventional cell measures 3.7882, 3.7882 and 22.7885 Å, with angles of 90.00, 90.00 and 90.00 degrees. The distinct sites, in fractional coordinates, are Ni at (0.0000, 0.2500, 0.0404), Pt at (0.0000, 0.2500, 0.2103), Pt at (0.0000, 0.2500, 0.3750) and Pt at (0.0000, 0.2500, 0.8750).

Its formation energy is -0.05 eV/atom. The calculation puts the total energy at -6.74 eV per atom.

(13)
This record from the Alexandria database describes an optimized crystal structure of Ni5Pt7. The functional is GGA-PBEsol.

The space group is Pmmm (No. 47) and the conventional cell measures 2.6929, 7.4721 and 7.9635 Å, with angles of 90.00, 90.00 and 90.00 degrees. The distinct sites, in fractional coordinates, are Ni at (0.0000, 0.0000, 0.0000), Ni at (0.0000, 0.5000, 0.3480), Ni at (0.5000, 0.2625, 0.5000), Pt at (0.0000, 0.0000, 0.3383), Pt at (0.0000, 0.5000, 0.0000) and Pt at (0.5000, 0.2537, 0.1751).

For the energy above the most stable polymorph in this dataset, the calculation gives 37.4 meV/atom. Its formation energy is -0.01 eV/atom. The calculation puts the total energy at -6.64 eV per atom.

(14)
This record from the Alexandria database describes an optimized crystal structure of NiPt2. The functional is GGA-PBEsol.

The space group is P2_1/c (No. 14) and the conventional cell measures 6.5452, 5.3475 and 4.6849 Å, with angles of 90.00, 90.70 and 90.00 degrees. The distinct sites, in fractional coordinates, are Ni at (0.1630, 0.1247, 0.4185), Pt at (0.1567, 0.6247, 0.4068) and Pt at (0.4961, 0.1264, 0.7463).

Its formation energy is -0.04 eV/atom. The calculation puts the total energy at -6.73 eV per atom.

(15)
This record from the Alexandria database describes an optimized crystal structure of NiPt. The functional is GGA-PBEsol.

The space group is Pmc2_1 (No. 26) and the conventional cell measures 3.7288, 7.8706 and 5.2549 Å, with angles of 90.00, 90.00 and 90.00 degrees. The distinct sites, in fractional coordinates, are Ni at (0.0000, 0.0056, 0.0000), Ni at (0.0000, 0.3250, 0.9864), Ni at (0.5000, 0.1626, 0.2381), Pt at (0.0000, 0.3207, 0.4798), Pt at (0.5000, 0.1534, 0.7502) and Pt at (0.5000, 0.4958, 0.2302).

Its formation energy is -0.05 eV/atom. The calculation puts the total energy at -6.61 eV per atom.

(16)
This record from the Alexandria database describes an optimized crystal structure of Ni3Pt2. The functional is GGA-PBEsol.

The space group is I4/mmm (No. 139) and the conventional cell measures 2.6599, 2.6599 and 17.4048 Å, with angles of 90.00, 90.00 and 90.00 degrees. The distinct sites, in fractional coordinates, are Ni at (0.0000, 0.0000, 0.0000), Ni at (0.0000, 0.0000, 0.4123) and Pt at (0.0000, 0.0000, 0.1902).

For the energy above the most stable polymorph in this dataset, the calculation gives 38.5 meV/atom. Its formation energy is 0.00 eV/atom. The calculation puts the total energy at -6.48 eV per atom.

(17)
This record from the Alexandria database describes an optimized crystal structure of Ni7Pt5. The functional is GGA-PBEsol.

The space group is P2 (No. 3) and the conventional cell measures 4.4987, 7.8119 and 4.5558 Å, with angles of 90.00, 110.41 and 90.00 degrees. The distinct sites, in fractional coordinates, are Ni at (0.0000, 0.0000, 0.0000), Ni at (0.0000, 0.1615, 0.5000), Ni at (0.0000, 0.3315, 0.0000), Ni at (0.0000, 0.6590, 0.0000), Ni at (0.0000, 0.8301, 0.5000), Ni at (0.5000, 0.3298, 0.5000), Ni at (0.5000, 0.4963, 0.0000), Pt at (0.0000, 0.4848, 0.5000), Pt at (0.5000, 0.0029, 0.5000), Pt at (0.5000, 0.1771, 0.0000), Pt at (0.5000, 0.6569, 0.5000) and Pt at (0.5000, 0.8281, 0.0000).

For the energy above the most stable polymorph in this dataset, the calculation gives 0.0 meV/atom. Its formation energy is -0.05 eV/atom. The calculation puts the total energy at -6.54 eV per atom.

(18)
This record from the Alexandria database describes an optimized crystal structure of NiPt2. The functional is GGA-PBEsol.

The space group is P4/mmm (No. 123) and the conventional cell measures 3.8944, 3.8944 and 2.9964 Å, with angles of 90.00, 90.00 and 90.00 degrees. The distinct sites, in fractional coordinates, are Ni at (0.0000, 0.0000, 0.0000) and Pt at (0.0000, 0.5000, 0.5000).

Its formation energy is 0.28 eV/atom. The calculation puts the total energy at -6.42 eV per atom.

(19)
This record from the Alexandria database describes an optimized crystal structure of Ni4Pt5. The functional is GGA-PBEsol.

The space group is P1 (No. 1) and the conventional cell measures 4.6008, 4.6013 and 5.8932 Å, with angles of 75.13, 83.18 and 80.53 degrees. The distinct sites, in fractional coordinates, are Ni at (0.0000, 0.0000, 0.0000), Ni at (0.1091, 0.5453, 0.7891), Ni at (0.2229, 0.1137, 0.5749), Ni at (0.6799, 0.3274, 0.6813), Pt at (0.3386, 0.6575, 0.3605), Pt at (0.4463, 0.2177, 0.1117), Pt at (0.5455, 0.7781, 0.8910), Pt at (0.7890, 0.8905, 0.4646) and Pt at (0.8984, 0.4432, 0.2300).

For the energy above the most stable polymorph in this dataset, the calculation gives 25.2 meV/atom. Its formation energy is -0.03 eV/atom. The calculation puts the total energy at -6.63 eV per atom.

(20)
This record from the Alexandria database describes an optimized crystal structure of NiPt. The functional is GGA-PBEsol.

The space group is I4/mmm (No. 139) and the conventional cell measures 3.7467, 3.7467 and 14.6597 Å, with angles of 90.00, 90.00 and 90.00 degrees. The distinct sites, in fractional coordinates, are Ni at (0.0000, 0.0000, 0.1332), Ni at (0.0000, 0.5000, 0.2500), Pt at (0.0000, 0.0000, 0.3651) and Pt at (0.0000, 0.5000, 0.0000).

Its formation energy is -0.04 eV/atom. The calculation puts the total energy at -6.60 eV per atom.

(21)
This record from the Alexandria database describes an optimized crystal structure of NiPt2. The functional is GGA-PBEsol.

The space group is P-3m1 (No. 164) and the conventional cell measures 2.7053, 2.7053 and 6.4876 Å, with angles of 90.00, 90.00 and 120.00 degrees. The distinct sites, in fractional coordinates, are Ni at (0.0000, 0.0000, 0.0000) and Pt at (0.3333, 0.6667, 0.6831).

Its formation energy is -0.03 eV/atom. The calculation puts the total energy at -6.73 eV per atom.

(22)
This record from the Alexandria database describes an optimized crystal structure of Ni5Pt2. The functional is GGA-PBEsol.

The space group is C2/m (No. 12) and the conventional cell measures 8.0172, 3.6510 and 5.7186 Å, with angles of 90.00, 98.58 and 90.00 degrees. The distinct sites, in fractional coordinates, are Ni at (0.0000, 0.0000, 0.0000), Ni at (0.0722, 0.5000, 0.7035), Ni at (0.1373, 0.0000, 0.4296) and Pt at (0.2111, 0.5000, 0.1539).

Its formation energy is -0.05 eV/atom. The calculation puts the total energy at -6.44 eV per atom.

(23)
This record from the Alexandria database describes an optimized crystal structure of NiPt. The functional is GGA-PBEsol.

The space group is P2 (No. 3) and the conventional cell measures 4.5616, 7.8938 and 4.5837 Å, with angles of 90.00, 109.89 and 90.00 degrees. The distinct sites, in fractional coordinates, are Ni at (0.0000, 0.0000, 0.0000), Ni at (0.0000, 0.1520, 0.5000), Ni at (0.0000, 0.3130, 0.0000), Ni at (0.0000, 0.8292, 0.5000), Ni at (0.5000, 0.1556, 0.0000), Ni at (0.5000, 0.6594, 0.5000), Pt at (0.0000, 0.4886, 0.5000), Pt at (0.0000, 0.6662, 0.0000), Pt at (0.5000, 0.3144, 0.5000), Pt at (0.5000, 0.4849, 0.0000), Pt at (0.5000, 0.8319, 0.0000) and Pt at (0.5000, 0.9887, 0.5000).

Its formation energy is -0.03 eV/atom. The calculation puts the total energy at -6.59 eV per atom.

(24)
This record from the Alexandria database describes an optimized crystal structure of NiPt. The functional is GGA-PBEsol.

The space group is Imma (No. 74) and the conventional cell measures 2.6875, 4.3399 and 8.7607 Å, with angles of 90.00, 90.00 and 90.00 degrees. The distinct sites, in fractional coordinates, are Ni at (0.0000, 0.2500, 0.1354) and Pt at (0.0000, 0.2500, 0.6146).

Its formation energy is 0.00 eV/atom. The calculation puts the total energy at -6.56 eV per atom.